This record from Alexandria describes crystalline Rb2MnGaF6 at its relaxed geometry. The functional is PBE+U.

The total magnetization comes out at 4.19 μB/cell. Its electronic total energy is -49.14 eV for the cell shown. As for the symmetry: Fm-3m.

a = 6.125 Å, b = 6.125 Å, c = 6.125 Å
α = 60.00°, β = 60.00°, γ = 60.00°
Fractional positions:
Rb: 0.250 0.250 0.250
Rb: 0.750 0.750 0.750
Mn: 0.000 0.000 0.000
Ga: 0.500 0.500 0.500
F: 0.248 0.248 0.752
F: 0.248 0.752 0.248
F: 0.248 0.752 0.752
F: 0.752 0.248 0.248
F: 0.752 0.248 0.752
F: 0.752 0.752 0.248